An optimized crystal structure of Na2SnHBr5. Source: the Alexandria database, functional PBE.

Cell: 4.2066 21.8369 12.6217 Å, 90.00 90.00 90.00°
Closest atoms and distances in Å follow each position.
Space group Cmc2_1 (No. 36)
One atom of each set of equivalent atoms:
Na: 0.0000 0.1312 0.0000 x4  6 Br 2.99-3.22
Na: 0.0000 0.1758 0.3163 x4  5 Br 2.92-3.03
Sn: 0.0000 0.1694 0.6597 x4  1 Br 2.66
H: 0.0000 0.4941 0.0585 x4  1 Br 1.45
Br: 0.0000 0.0491 0.6930 x4  1 Sn 2.66, 2 H 2.86
Br: 0.0000 0.3122 0.3356 x4  3 Na 2.99-3.20, 2 Sn 3.08
Br: 0.0000 0.3336 0.6569 x4  4 Na 2.92-2.99
Br: 0.0000 0.3367 0.9875 x4  2 Na 3.03, 2 Sn 3.03
Br: 0.0000 0.4772 0.4547 x4  1 H 1.45

E_tot, eV per atom: -2.996